## A
A plane-wave DFT calculation with PBE was carried out for a relaxed structure of CaBeTe3.

Computed properties:
- D(E_F): 4.4 states/eV/f.u.
- Magnetization: 0.000 Bohr magnetons per cell
- Space-group type: Pm-3m

Lattice parameters (Å, degrees): 5.1400 5.1400 5.1400 90.00 90.00 90.00
Fractional positions:
Ca (0.0000, 0.0000, 0.0000)
Be (0.5000, 0.5000, 0.5000)
Te (0.0000, 0.5000, 0.5000)
Te (0.5000, 0.0000, 0.5000)
Te (0.5000, 0.5000, 0.0000)

***

## B
A plane-wave DFT calculation with PBE was carried out for a relaxed structure of CaBeTe3.

Computed properties:
- D(E_F): 11.3 states/eV/f.u.
- Magnetization: 1.085 Bohr magnetons per cell
- Space-group type: Pm-3m

Lattice parameters (Å, degrees): 5.8245 5.8245 5.8245 90.00 90.00 90.00
Fractional positions:
Ca (0.0000, 0.0000, 0.0000)
Be (0.5000, 0.5000, 0.5000)
Te (0.0000, 0.0000, 0.5000)
Te (0.0000, 0.5000, 0.0000)
Te (0.5000, 0.0000, 0.0000)

***

Relative energies in meV per atom: A 0; B 957

***

## A
A plane-wave DFT calculation with PBE was carried out for a relaxed structure of CaTiBe.

Computed properties:
- D(E_F): 3.2 states/eV/f.u.
- Magnetization: 1.025 Bohr magnetons per cell
- Space-group type: Cmcm

Lattice parameters (Å, degrees): 6.1367 6.1367 4.7093 90.00 90.00 135.63
Fractional positions:
Ca (0.2076, 0.7924, 0.7500)
Ca (0.7924, 0.2076, 0.2500)
Ti (0.5000, 0.5000, 0.0000)
Ti (0.5000, 0.5000, 0.5000)
Be (0.0416, 0.9584, 0.2500)
Be (0.9584, 0.0416, 0.7500)

***

## B
A plane-wave DFT calculation with PBE was carried out for a relaxed structure of CaTiBe.

Computed properties:
- D(E_F): 1.3 states/eV/f.u.
- Magnetization: 0.000 Bohr magnetons per cell
- Space-group type: P6_3/mmc

Lattice parameters (Å, degrees): 4.6038 4.6038 6.3286 90.00 90.00 120.00
Fractional positions:
Ca (0.0000, 0.0000, 0.0000)
Ca (0.0000, 0.0000, 0.5000)
Ti (0.3333, 0.6667, 0.2500)
Ti (0.6667, 0.3333, 0.7500)
Be (0.3333, 0.6667, 0.7500)
Be (0.6667, 0.3333, 0.2500)

***

Relative energies in meV per atom: A 0; B 254

***

## A
A plane-wave DFT calculation with PBE was carried out for a relaxed structure of CaTiBe2.

Computed properties:
- D(E_F): 3.9 states/eV/f.u.
- Magnetization: 0.002 Bohr magnetons per cell
- Space-group type: Fm-3m

Lattice parameters (Å, degrees): 4.5422 4.5422 4.5422 60.00 60.00 60.00
Fractional positions:
Ca (0.0000, 0.0000, 0.0000)
Ti (0.5000, 0.5000, 0.5000)
Be (0.2500, 0.2500, 0.2500)
Be (0.7500, 0.7500, 0.7500)

***

## B
A plane-wave DFT calculation with PBE was carried out for a relaxed structure of CaTiBe2.

Computed properties:
- D(E_F): 2.6 states/eV/f.u.
- Magnetization: 0.000 Bohr magnetons per cell
- Space-group type: I-42d

Lattice parameters (Å, degrees): 5.8411 5.8411 5.8411 105.93 105.93 116.82
Fractional positions:
Ca (0.0000, 0.0000, 0.0000)
Ca (0.7500, 0.2500, 0.5000)
Ti (0.2500, 0.7500, 0.5000)
Ti (0.5000, 0.5000, 0.0000)
Be (0.1680, 0.6250, 0.0430)
Be (0.3750, 0.4180, 0.5430)
Be (0.5820, 0.1250, 0.9570)
Be (0.8750, 0.8320, 0.4570)

***

Relative energies in meV per atom: A 0; B 385